# ScCoP2O | the Alexandria database | PBE+U | optimized geometry
# Density of states at the Fermi level in states/eV per cell: 1.8
# SG: P4/mmm, No. 123
# Polymorph energy (0 for the lowest one) in eV per formula unit: 0.00
# Volume in A^3/atom: 15.127
# M_tot in Bohr magnetons per cell: 1.4
data_ScCoP2O
_symmetry_space_group_name_H-M 'P 1'
_symmetry_Int_Tables_number 1
_cell_length_a 4.679
_cell_length_b 4.679
_cell_length_c 3.455
_cell_angle_alpha 90.00
_cell_angle_beta 90.00
_cell_angle_gamma 90.00
loop_
_symmetry_equiv_pos_as_xyz
'x,y,z'
loop_
_atom_site_label
_atom_site_type_symbol
_atom_site_fract_x
_atom_site_fract_y
_atom_site_fract_z
Co1 Co 0.000 0.000 0.000
Sc1 Sc 0.500 0.500 0.500
P1 P 0.500 0.000 0.000
P2 P 0.000 0.500 0.000
O1 O 0.000 0.000 0.500